(1)
Ce2EuSb, optimized geometry, DFT PBE; SG = P4/mmm (123); E above lowest polymorph = 0.0 kJ/mol of atoms; formation energy without anion corrections = -0.467 eV/atom
1.0
5.0162 0.0000 0.0000
0.0000 4.7574 0.0000
0.0000 0.0000 4.7574
Ce Sb Eu
2 1 1
direct
0.0000 0.5000 0.0000
0.0000 0.0000 0.5000
0.5000 0.0000 0.0000
0.5000 0.5000 0.5000

=====

(2)
TaTlZn2, optimized geometry, DFT PBE; SG = F-43m (216); E above lowest polymorph = 47.6 kJ/mol of atoms; energy of formation from the pure elements = 0.70 eV/atom
1.0
4.7392 0.0000 0.0000
2.3696 4.1043 0.0000
2.3696 1.3681 3.8695
Zn Ta Tl
2 1 1
direct
0.7500 0.7500 0.7500
0.0000 0.0000 0.0000
0.5000 0.5000 0.5000
0.2500 0.2500 0.2500

=====

(3)
Zn2NiSb, optimized geometry, DFT PBE; SG = R-3m (166); formation energy without anion corrections = 0.195 eV/atom
1.0
-0.3778 8.0068 2.3074
-1.1787 6.5528 5.0247
1.8904 6.9182 4.2592
Ni Sb Zn
1 1 2
direct
0.2500 0.2500 0.2500
0.7500 0.7500 0.7500
0.5145 0.5145 0.5145
0.9855 0.9855 0.9855

=====

(4)
RbCu3I, optimized geometry, DFT PBE; SG = Pm-3m (221); E above lowest polymorph = 71.4 kJ/mol of atoms; formation energy without anion corrections = 1.517 eV/atom
1.0
5.5606 0.0000 0.0000
0.0000 5.5606 0.0000
0.0000 0.0000 5.5606
Cu Rb I
3 1 1
direct
0.5000 0.0000 0.0000
0.0000 0.5000 0.0000
0.0000 0.0000 0.5000
0.0000 0.0000 0.0000
0.5000 0.5000 0.5000

=====

(5)
Zr2ScZn2Pd5, optimized geometry, DFT PBE; SG = P4/mbm (127); energy of formation from the pure elements = -0.59 eV/atom
1.0
-0.9102 2.9330 2.2225
-2.5852 -6.0263 6.8942
8.8671 0.1397 3.4472
Zr Zn Pd Sc
4 4 10 2
direct
0.0000 0.3262 0.8262
0.0000 0.6738 0.1738
0.0000 0.8262 0.6738
0.0000 0.1738 0.3262
0.0000 0.6238 0.8762
0.0000 0.1238 0.6238
0.0000 0.8762 0.3762
0.0000 0.3762 0.1238
0.5000 0.2948 0.5651
0.5000 0.7948 0.9349
0.5000 0.9349 0.2052
0.5000 0.7052 0.4349
0.5000 0.5651 0.7052
0.5000 0.2052 0.0651
0.5000 0.0651 0.7948
0.5000 0.5000 0.0000
0.5000 0.0000 0.5000
0.5000 0.4349 0.2948
0.0000 0.5000 0.5000
0.0000 0.0000 0.0000

=====

(6)
LiMnRh6, optimized geometry, DFT PBE; SG = C2/m (12); energy of formation from the pure elements = 0.03 eV/atom
1.0
-0.3701 2.6836 3.5020
-0.1771 -2.3408 4.5739
5.1662 -0.7065 3.8862
Mn Li Rh
1 1 6
direct
0.0000 0.5000 0.5000
0.0000 0.0000 0.0000
0.2328 0.4036 0.1308
0.7666 0.1027 0.3641
0.4988 0.7523 0.2501
0.5012 0.2477 0.7499
0.2334 0.8973 0.6359
0.7672 0.5964 0.8692

=====

(7)
TaFeTe2, optimized geometry, DFT PBE; SG = R3m (160); formation energy without anion corrections = 0.014 eV/atom
1.0
7.4082 -0.0201 -0.0122
6.3743 3.7750 -0.0122
6.3743 1.7366 3.3519
Te Fe Ta
2 1 1
direct
0.0226 0.0226 0.0226
0.2068 0.2068 0.2068
0.4958 0.4958 0.4958
0.7748 0.7748 0.7748

=====

(8)
SrAlGaAg3, optimized geometry, DFT PBE; SG = Cmcm (63); energy of formation from the pure elements = -0.11 eV/atom
1.0
-1.2222 2.5439 -5.6194
-6.1344 -2.9956 -0.0218
0.5407 6.6507 2.8931
Ga Ag Al Sr
2 6 2 2
direct
0.2500 0.3671 0.7343
0.7500 0.6329 0.2657
0.5000 0.2936 0.0000
0.0000 0.7064 0.0000
0.0000 0.2936 0.0000
0.2500 0.1634 0.3268
0.5000 0.7064 0.0000
0.7500 0.8366 0.6732
0.7500 0.0382 0.0763
0.2500 0.9618 0.9237
0.7500 0.2866 0.5732
0.2500 0.7134 0.4268

=====

(9)
Zn10Pd3, optimized geometry, DFT PBE; SG = Cm (8); energy of formation from the pure elements = -0.32 eV/atom
1.0
7.9318 0.0044 0.0144
-2.7253 7.4489 0.0144
2.4922 3.5677 6.5113
Zn Pd
20 6
direct
0.2529 0.2529 0.4061
0.6486 0.6486 0.9919
0.7499 0.7499 0.2485
0.6385 0.3624 0.3413
0.6542 0.6542 0.6410
0.6505 0.0014 0.3551
0.0131 0.3579 0.2772
0.2313 0.0014 0.9963
0.3579 0.0131 0.2772
0.0014 0.2313 0.9963
0.0121 0.7442 0.6454
0.0046 0.0046 0.8053
0.3585 0.7325 0.9699
0.7325 0.3585 0.9699
0.0014 0.6505 0.3551
0.6221 0.2624 0.7153
0.3624 0.6385 0.3413
0.7442 0.0121 0.6454
0.3538 0.3538 0.0115
0.2624 0.6221 0.7153
0.9862 0.6428 0.0155
0.9982 0.9982 0.3344
0.3611 0.9962 0.6384
0.9962 0.3611 0.6384
0.6428 0.9862 0.0155
0.3633 0.3633 0.6525

=====

(10)
La3YTh2Se6, optimized geometry, DFT PBE; SG = C2/m (12); formation energy without anion corrections = -1.800 eV/atom
1.0
-1.8409 6.4925 2.8605
-5.1546 -4.2214 -3.0551
1.1625 -3.7763 6.1882
Se Y Th La
6 1 2 3
direct
0.4059 0.0794 0.2392
0.5941 0.9206 0.7608
0.0794 0.4059 0.2392
0.7549 0.7549 0.2423
0.9206 0.5941 0.7608
0.2451 0.2451 0.7577
0.0000 0.0000 0.0000
0.3338 0.6662 0.0000
0.6662 0.3338 0.0000
0.1691 0.8309 0.5000
0.5000 0.5000 0.5000
0.8309 0.1691 0.5000

=====

(11)
MnHRu, optimized geometry, DFT PBE; SG = C2/m (12); E above lowest polymorph = 0.0 kJ/mol of atoms
1.0
2.6906 0.0012 0.0004
1.3458 2.2961 0.3802
-0.0033 0.1428 8.6851
Mn H Ru
2 2 2
direct
0.9873 0.8961 0.1071
0.7253 0.4213 0.3262
0.4290 0.0141 0.4363
0.2835 0.3034 0.9969
0.5651 0.7392 0.8472
0.1475 0.5783 0.5860

=====

(12)
Ta2ReBr, optimized geometry, DFT PBE; SG = Pmmm (47); E above lowest polymorph = 55.8 kJ/mol of atoms; formation energy without anion corrections = 0.757 eV/atom
1.0
-1.3461 -2.3559 -1.6092
0.8703 -3.0354 3.7158
-4.0078 1.0583 1.8032
Br Ta Re
1 2 1
direct
0.5000 0.0000 0.5000
0.5000 0.5000 0.0000
0.0000 0.0000 0.0000
0.0000 0.5000 0.5000

=====

(13)
BeRe2Hg, optimized geometry, DFT PBE; SG = I-4m2 (119); E above lowest polymorph = 39.9 kJ/mol of atoms; energy of formation from the pure elements = 0.66 eV/atom
1.0
-4.1280 1.1923 -1.6888
-2.9116 -2.3652 2.6912
3.4108 2.8103 1.3353
Hg Re Be
1 2 1
direct
0.7500 0.2500 0.5000
0.2500 0.7500 0.5000
0.0000 0.0000 0.0000
0.5000 0.5000 0.0000

=====

(14)
TeH, optimized geometry, DFT PBE; SG = P4_2/mnm (136); E above lowest polymorph = 38.2 kJ/mol of atoms
1.0
6.5944 0.0000 0.0000
0.0000 6.5944 0.0000
0.0000 0.0000 3.5566
Te H
4 4
direct
0.2740 0.7260 0.5000
0.7260 0.2740 0.5000
0.7740 0.7740 0.0000
0.2260 0.2260 0.0000
0.6482 0.3518 0.0000
0.1482 0.1482 0.5000
0.8518 0.8518 0.5000
0.3518 0.6482 0.0000

=====

(15)
BeIn2Br, optimized geometry, DFT PBE; SG = P2/m (10); E above lowest polymorph = 13.8 kJ/mol of atoms; formation energy without anion corrections = 0.144 eV/atom
1.0
3.3603 0.0000 0.0000
0.0000 6.4543 0.2472
0.0000 4.7474 4.7332
Br In Be
1 2 1
direct
0.5000 0.7500 0.7500
0.0000 0.1093 0.0576
0.0000 0.3907 0.4424
0.5000 0.2500 0.2500

=====

(16)
Th2OsC, optimized geometry, DFT PBE; SG = Pmna (53); E above lowest polymorph = 11.5 kJ/mol of atoms; energy of formation from the pure elements = -0.13 eV/atom
1.0
5.7350 0.0000 0.0000
0.0000 5.5628 0.2134
0.0000 -0.4186 10.9063
Th C Os
8 4 4
direct
0.7373 0.5000 0.6095
0.8090 0.0000 0.3580
0.8090 0.5000 0.1420
0.7373 0.0000 0.8905
0.2627 0.5000 0.3905
0.1910 0.5000 0.8580
0.2627 0.0000 0.1095
0.1910 0.0000 0.6420
0.8297 0.0000 0.1312
0.1703 0.5000 0.6312
0.8297 0.5000 0.3688
0.1703 0.0000 0.8688
0.3153 0.5000 0.1057
0.6847 0.0000 0.6057
0.6847 0.5000 0.8943
0.3153 0.0000 0.3943

=====

(17)
Nb5Ir2Rh4, optimized geometry, DFT PBE; SG = Pbam (55); energy of formation from the pure elements = -0.32 eV/atom
1.0
3.7012 0.0000 0.0000
0.0000 6.4551 0.0000
0.0000 0.0000 15.2296
Nb Rh Ir
10 8 4
direct
0.0000 0.7098 0.8032
0.0000 0.2902 0.1968
0.0000 0.7902 0.3032
0.0000 0.1182 0.9144
0.0000 0.2098 0.6968
0.0000 0.3818 0.4144
0.0000 0.8818 0.0856
0.0000 0.0000 0.5000
0.0000 0.6182 0.5856
0.0000 0.5000 0.0000
0.5000 0.4082 0.8715
0.5000 0.9082 0.6285
0.5000 0.6988 0.4532
0.5000 0.8012 0.9532
0.5000 0.0918 0.3715
0.5000 0.5918 0.1285
0.5000 0.1988 0.0468
0.5000 0.3012 0.5468
0.5000 0.9883 0.2034
0.5000 0.4883 0.2967
0.5000 0.5117 0.7034
0.5000 0.0117 0.7966

=====

(18)
LuSc2Tl, optimized geometry, DFT PBE; SG = P4/mmm (123); E above lowest polymorph = 0.0 kJ/mol of atoms; energy of formation from the pure elements = -0.17 eV/atom
1.0
-2.8983 -1.7448 -3.1529
3.4706 -2.3566 -1.8862
-0.8951 -3.5484 2.7864
Sc Lu Tl
2 1 1
direct
0.0000 0.0000 0.5000
0.0000 0.5000 0.0000
0.5000 0.0000 0.0000
0.5000 0.5000 0.5000

=====

(19)
KGeTe2, optimized geometry, DFT PBE; SG = I-42d (122); formation energy without anion corrections = -0.366 eV/atom
1.0
8.0804 0.0000 0.0000
0.0000 8.0804 0.0000
4.0402 4.0402 5.0824
Ge Te K
2 4 2
direct
0.7500 0.2500 0.5000
0.0000 0.0000 0.0000
0.0420 0.6250 0.2500
0.3750 0.2920 0.7500
0.7080 0.1250 0.2500
0.8750 0.9580 0.7500
0.2500 0.7500 0.5000
0.5000 0.5000 0.0000

=====

(20)
LiTbTl6, optimized geometry, DFT PBE; SG = Cmmm (65); energy of formation from the pure elements = -0.12 eV/atom
1.0
-1.0813 2.2057 -4.1516
-4.7126 -4.6099 -1.2218
-4.5451 3.7633 3.1832
Tl Li Tb
6 1 1
direct
0.5000 0.0000 0.5000
0.5000 0.5000 0.0000
0.0000 0.7463 0.2537
0.0000 0.2522 0.2522
0.0000 0.7478 0.7478
0.0000 0.2537 0.7463
0.5000 0.5000 0.5000
0.5000 0.0000 0.0000

=====

D(E_F) for the records above, in order: 10.4; 4.5; 2.3; 7.8; 16.9; 11.9; 3.4; 5.1; 10.9; 7.8; 3.3; 3.2; 2.2; 5.8; 1.9; 8.0; 20.5; 4.9; 9.7; 4.4 states/eV per cell
DFT total energy for the records above, in order: -7.033; -3.492; -2.917; -1.444; -5.780; -6.867; -6.636; -2.943; -2.495; -6.549; -7.229; -8.700; -6.570; -2.686; -2.575; -8.956; -9.183; -5.061; -3.366; -2.716 eV per atom